[1]
First-principles (GGA-PBE) data for YTiFe after structural relaxation, as listed in Alexandria via LeMat-Bulk.

```
YTiFe
1.0
5.5757 0.0000 0.0000
-2.7878 7.6387 0.0000
0.0000 0.0000 5.5718
Fe Ti Y
4 4 4
Direct
0.5994 0.1987 0.4999
0.9006 0.8013 0.9999
0.4006 0.8013 0.5001
0.0994 0.1987 0.0001
0.2500 0.0000 0.2500
0.2500 0.0000 0.7500
0.7500 0.0000 0.7500
0.7500 0.0000 0.2500
0.8295 0.6590 0.4998
0.6705 0.3410 0.9999
0.1705 0.3410 0.5002
0.3295 0.6590 0.0001
```

Electronic total energy (eV per atom): -7.646
M_tot (μB/cell): 0.00
E_form (eV/atom): -0.0389

---

[2]
First-principles (GGA-PBE) data for RbYP2S after structural relaxation, as listed in Alexandria via LeMat-Bulk.

```
RbYP2S
1.0
-5.0757 -1.8554 -0.6235
0.2820 -2.4080 4.8699
-1.9038 4.4343 2.3028
Y P S Rb
1 2 1 1
Direct
0.0000 0.0000 0.0000
0.0000 0.5000 0.0000
0.5000 0.0000 0.0000
0.0000 0.0000 0.5000
0.5000 0.5000 0.5000
```

Electronic total energy (eV per atom): -4.732
Formation energy (no corrections) (eV per atom): -0.26
M_tot (μB/cell): 1.68
Polymorph energy (0 for the lowest one) (meV/atom): 0

---

[3]
First-principles (GGA-PBE) data for La2NdDySb4 after structural relaxation, as listed in Alexandria via LeMat-Bulk.

```
La2NdDySb4
1.0
4.5471 0.0000 0.0000
0.0000 7.8591 -0.1514
0.0000 2.7695 7.3646
La Nd Dy Sb
2 1 1 4
Direct
0.0000 0.0000 0.0000
0.5000 0.0000 0.5000
0.5000 0.5000 0.0000
0.0000 0.5000 0.5000
0.0000 0.7425 0.7484
0.0000 0.2575 0.2515
0.5000 0.7396 0.2574
0.5000 0.2604 0.7426
```

Electronic total energy (eV per atom): -5.678
Formation energy (no corrections) (eV per atom): -1.21
M_tot (μB/cell): 0.00

---

[4]
First-principles (GGA-PBE) data for Tb2TiGe2 after structural relaxation, as listed in Alexandria via LeMat-Bulk.

```
Tb2TiGe2
1.0
2.9775 0.0000 0.0000
0.0000 2.9775 0.0000
0.0000 0.0000 14.2935
Tb Ti Ge
2 1 2
Direct
0.5000 0.5000 0.6191
0.5000 0.5000 0.3809
0.5000 0.5000 0.0000
0.5000 0.5000 0.1802
0.5000 0.5000 0.8198
```

Electronic total energy (eV per atom): -4.716
M_tot (μB/cell): 0.00
E_form (eV/atom): 0.5622

---

[5]
First-principles (GGA-PBE) data for Li3B8C8 after structural relaxation, as listed in Alexandria via LeMat-Bulk.

```
Li3B8C8
1.0
-6.5459 -1.1509 -4.5801
7.8585 -1.8207 0.2851
-0.9918 -3.9165 2.4066
C B Li
8 8 3
Direct
0.6353 0.3658 0.3332
0.6155 0.8845 0.1642
0.3845 0.1155 0.8358
0.3647 0.6342 0.6668
0.1342 0.8647 0.3332
0.1121 0.3879 0.1682
0.8879 0.6121 0.8318
0.8658 0.1353 0.6668
0.8650 0.1320 0.3338
0.3813 0.1187 0.1687
0.6187 0.8813 0.8313
0.1350 0.8680 0.6662
0.3680 0.6350 0.3338
0.8825 0.6175 0.1663
0.1175 0.3825 0.8337
0.6320 0.3650 0.6662
0.2564 0.7564 0.0000
0.0000 0.5000 0.5000
0.7436 0.2436 0.0000
```

Electronic total energy (eV per atom): -6.882
M_tot (μB/cell): 0.00
E_form (eV/atom): 0.1152
Polymorph energy (0 for the lowest one) (meV/atom): 109

---

[6]
First-principles (GGA-PBE) data for AlAs3 after structural relaxation, as listed in Alexandria via LeMat-Bulk.

```
AlAs3
1.0
5.3292 0.0000 0.0000
0.0000 5.3292 0.0000
0.0000 0.0000 5.3292
Al As
2 6
Direct
0.0000 0.0000 0.0000
0.5000 0.5000 0.5000
0.7500 0.5000 0.0000
0.2500 0.5000 0.0000
0.0000 0.7500 0.5000
0.0000 0.2500 0.5000
0.5000 0.0000 0.2500
0.5000 0.0000 0.7500
```

Electronic total energy (eV per atom): -3.995
M_tot (μB/cell): 0.00
E_form (eV/atom): 0.4281
Polymorph energy (0 for the lowest one) (meV/atom): 528

---

[7]
First-principles (GGA-PBE) data for Pm2Ga12Au after structural relaxation, as listed in Alexandria via LeMat-Bulk.

```
Pm2Ga12Au
1.0
6.2441 0.0000 0.0000
0.0000 6.2441 0.0000
0.0000 0.0000 15.3943
Pm Ga Au
4 24 2
Direct
0.5000 0.0000 0.2488
0.0000 0.5000 0.2488
0.0000 0.5000 0.7512
0.5000 0.0000 0.7512
0.5000 0.5000 0.8137
0.0000 0.0000 0.8137
0.7502 0.7498 0.9061
0.2502 0.7502 0.9061
0.0000 0.0000 0.3464
0.2498 0.7498 0.0939
0.8307 0.3307 0.5693
0.5000 0.5000 0.3464
0.2498 0.2502 0.9061
0.7498 0.7502 0.0939
0.3307 0.1693 0.5693
0.6693 0.1693 0.4307
0.0000 0.0000 0.6536
0.1693 0.3307 0.4307
0.2502 0.2498 0.0939
0.8307 0.6693 0.4307
0.6693 0.8307 0.5693
0.0000 0.0000 0.1863
0.1693 0.6693 0.5693
0.5000 0.5000 0.6536
0.7498 0.2498 0.9061
0.5000 0.5000 0.1863
0.3307 0.8307 0.4307
0.7502 0.2502 0.0939
0.5000 0.0000 0.0000
0.0000 0.5000 0.0000
```

Electronic total energy (eV per atom): -3.623
M_tot (μB/cell): 0.00
E_form (eV/atom): -0.3494

---

[8]
First-principles (GGA-PBE) data for PrSmGa2 after structural relaxation, as listed in Alexandria via LeMat-Bulk.

```
PrSmGa2
1.0
-4.0347 -0.6193 -1.8248
-1.6188 -0.6234 3.7909
0.9570 5.8389 1.3689
Pr Sm Ga
1 1 2
Direct
0.4414 0.5000 0.4207
0.7213 0.0000 0.9826
0.1552 0.5000 0.8507
0.0132 0.0000 0.5640
```

Electronic total energy (eV per atom): -4.478
M_tot (μB/cell): 0.00
E_form (eV/atom): -0.5894
Polymorph energy (0 for the lowest one) (meV/atom): 0

---

[9]
First-principles (GGA-PBE) data for PmNdGa2 after structural relaxation, as listed in Alexandria via LeMat-Bulk.

```
PmNdGa2
1.0
-4.2436 -0.4886 -1.3074
1.2006 -2.7762 -2.8596
1.4386 -3.9129 4.4028
Pm Nd Ga
1 1 2
Direct
0.7222 0.0000 0.9845
0.4423 0.5000 0.4224
0.1542 0.5000 0.8492
0.0123 0.0000 0.5619
```

Electronic total energy (eV per atom): -4.486
M_tot (μB/cell): 0.00
E_form (eV/atom): -0.5933
Polymorph energy (0 for the lowest one) (meV/atom): 0

---

[10]
First-principles (GGA-PBE) data for TmTh5 after structural relaxation, as listed in Alexandria via LeMat-Bulk.

```
TmTh5
1.0
-1.3527 0.2409 4.7985
3.6713 -3.2007 1.1956
2.9331 7.4624 0.4523
Tm Th
1 5
Direct
0.0000 0.0000 0.0000
0.0000 0.6676 0.3352
0.0000 0.3324 0.6648
0.5000 0.5000 0.0000
0.5000 0.1650 0.3301
0.5000 0.8350 0.6699
```

Electronic total energy (eV per atom): -6.895
M_tot (μB/cell): 0.00
E_form (eV/atom): 0.0331
Polymorph energy (0 for the lowest one) (meV/atom): 0

---

[11]
First-principles (GGA-PBE) data for In4Mo after structural relaxation, as listed in Alexandria via LeMat-Bulk.

```
In4Mo
1.0
-1.6931 1.5399 4.8068
4.4190 -1.9977 2.1965
2.4390 4.6884 -0.6428
Mo In
1 4
Direct
0.5000 0.5000 0.5000
0.0000 0.0000 0.0000
0.5000 0.0000 0.5000
0.0000 0.5000 0.5000
0.5000 0.5000 0.0000
```

Electronic total energy (eV per atom): -3.894
M_tot (μB/cell): 0.00
E_form (eV/atom): 0.4635
Polymorph energy (0 for the lowest one) (meV/atom): 432

---

[12]
First-principles (GGA-PBE) data for PIrCl after structural relaxation, as listed in Alexandria via LeMat-Bulk.

```
PIrCl
1.0
4.1983 0.0000 0.0000
2.0991 3.6358 0.0000
2.0991 1.2119 3.4279
Cl Ir P
1 1 1
Direct
0.2500 0.2500 0.2500
0.0000 0.0000 0.0000
0.5000 0.5000 0.5000
```

Electronic total energy (eV per atom): -3.802
Formation energy (no corrections) (eV per atom): 1.57
M_tot (μB/cell): 0.00
Polymorph energy (0 for the lowest one) (meV/atom): 1817